Material: K2HfCuTe4
Method: DFT, PBE-GGA
State: relaxed

The volume is 600.98 Å³/cell. The calculation puts the total energy at -4.297 eV per atom. The formation energy (no corrections) comes out at -67.1 kJ per mole of atoms.

Lattice parameters (Å, degrees): 15.023 13.390 8.089 84.96 62.60 32.43
Atoms (fractional coordinates):
K (0.055, 0.055, 0.695)
K (0.305, 0.305, 0.945)
K (0.695, 0.695, 0.055)
K (0.945, 0.945, 0.305)
Hf (0.125, 0.125, 0.125)
Hf (0.875, 0.875, 0.875)
Cu (0.375, 0.375, 0.375)
Cu (0.625, 0.625, 0.625)
Te (0.029, 0.334, 0.439)
Te (0.302, 0.561, 0.666)
Te (0.334, 0.029, 0.698)
Te (0.439, 0.698, 0.029)
Te (0.561, 0.302, 0.971)
Te (0.666, 0.971, 0.302)
Te (0.698, 0.439, 0.334)
Te (0.971, 0.666, 0.561)